(1)
The following is a PBE calculation of crystalline Al2ReRh at its relaxed geometry, from Alexandria.

Properties
Formation enthalpy at 0 K = -337 meV per atom
Distance to the lowest polymorph of the same formula = 0.862 eV per formula unit

a = 2.7415 Å, b = 4.0925 Å, c = 5.1833 Å
α = 90.00°, β = 94.57°, γ = 90.00°
Positions (direct):
Al 0.1852 0.0000 0.2494
Al 0.8148 0.0000 0.7506
Re 0.5000 0.5000 0.0000
Rh 0.0000 0.5000 0.5000


(2)
The following is a PBE calculation of crystalline Mn2Sb at its relaxed geometry, from Alexandria.

Properties
Uncorrected formation energy = 336 meV/atom

a = 5.1418 Å, b = 5.1418 Å, c = 8.2440 Å
α = 90.00°, β = 90.00°, γ = 120.00°
Positions (direct):
Mn 0.0000 0.0000 0.0000
Mn 0.0000 0.0000 0.5000
Mn 0.1641 0.3282 0.2500
Mn 0.1641 0.8359 0.2500
Mn 0.3282 0.1641 0.7500
Mn 0.6718 0.8359 0.2500
Mn 0.8359 0.1641 0.7500
Mn 0.8359 0.6718 0.7500
Sb 0.3333 0.6667 0.5595
Sb 0.3333 0.6667 0.9405
Sb 0.6667 0.3333 0.0595
Sb 0.6667 0.3333 0.4405


(3)
The following is a PBE calculation of crystalline CsPu2ScO8 at its relaxed geometry, from Alexandria.

Properties
Uncorrected formation energy = -2210 meV/atom

a = 6.1586 Å, b = 6.1586 Å, c = 8.1856 Å
α = 90.00°, β = 90.00°, γ = 120.00°
Positions (direct):
Cs 0.0000 0.0000 0.0000
Pu 0.3333 0.6667 0.2541
Pu 0.6667 0.3333 0.7459
Sc 0.0000 0.0000 0.5000
O 0.1608 0.3216 0.3469
O 0.1608 0.8392 0.3469
O 0.3216 0.1608 0.6531
O 0.3333 0.6667 0.0235
O 0.6667 0.3333 0.9765
O 0.6784 0.8392 0.3469
O 0.8392 0.1608 0.6531
O 0.8392 0.6784 0.6531


(4)
The following is a PBE calculation of crystalline ThNiH3 at its relaxed geometry, from Alexandria.

a = 3.6515 Å, b = 3.6515 Å, c = 3.6515 Å
α = 90.00°, β = 90.00°, γ = 90.00°
Positions (direct):
Th 0.0000 0.0000 0.0000
Ni 0.5000 0.5000 0.5000
H 0.0000 0.5000 0.5000
H 0.5000 0.0000 0.5000
H 0.5000 0.5000 0.0000


| no. | raw total energy (Ry per atom) |
| --- | --- |
| 1 | -0.5261 |
| 2 | -0.5256 |
| 3 | -0.6250 |
| 4 | -0.3670 |